Record 1
Material: Ac2SiPd4Pb2
Method: DFT, PBE
State: optimized geometry

Its total magnetization is 0.000 Bohr magnetons per cell. As for the space group: I4/mmm. The calculation puts the formation energy (no corrections) at -576 meV per atom. As for the final energy: -47.0 eV for the cell shown.

abc: 6.6672 6.6672 6.6672
angles: 117.86 117.86 93.74
Fractional coordinates of all 9 atoms:
Ac 0.2500 0.7500 0.5000
Ac 0.7500 0.2500 0.5000
Si 0.0000 0.0000 0.0000
Pd 0.2452 0.2452 0.4904
Pd 0.2452 0.7548 0.0000
Pd 0.7548 0.2452 0.0000
Pd 0.7548 0.7548 0.5096
Pb 0.3258 0.3258 0.0000
Pb 0.6742 0.6742 0.0000

Record 2
Material: Na2NdTl9
Method: DFT, PBE
State: optimized geometry

Its total magnetization is 0.000 Bohr magnetons per cell. As for the space group: P4/mmm. As for the final energy: -30.2 eV for the cell shown.

abc: 4.8409 4.8409 14.6945
angles: 90.00 90.00 90.00
Fractional coordinates of all 12 atoms:
Na 0.0000 0.0000 0.1716
Na 0.0000 0.0000 0.8284
Nd 0.0000 0.0000 0.5000
Tl 0.0000 0.5000 0.0000
Tl 0.0000 0.5000 0.3332
Tl 0.0000 0.5000 0.6668
Tl 0.5000 0.0000 0.0000
Tl 0.5000 0.0000 0.3332
Tl 0.5000 0.0000 0.6668
Tl 0.5000 0.5000 0.1702
Tl 0.5000 0.5000 0.5000
Tl 0.5000 0.5000 0.8298